Compound: CrInO2
Source: the Alexandria database
Functional: PBE with a Hubbard U
Structure: optimized geometry

abc: 5.453 2.987 13.706
angles: 90.00 90.00 90.00
Positions (direct):
1 Cr 0.098 0.250 0.085
2 Cr 0.402 0.750 0.585
3 Cr 0.598 0.250 0.415
4 Cr 0.902 0.750 0.915
5 In 0.067 0.750 0.341
6 In 0.433 0.250 0.841
7 In 0.567 0.750 0.159
8 In 0.933 0.250 0.659
9 O 0.022 0.250 0.827
10 O 0.205 0.750 0.996
11 O 0.295 0.250 0.496
12 O 0.478 0.750 0.327
13 O 0.522 0.250 0.673
14 O 0.705 0.750 0.504
15 O 0.795 0.250 0.004
16 O 0.978 0.750 0.173

The electronic total energy is -6.3833 eV/atom. Its space-group type is Pnma (62).